An optimized crystal structure of MgCu2Os. Source: Alexandria via LeMat-Bulk, functional PBE-GGA.

For the calculated total energy, the calculation gives -5.012 eV/atom. The total magnetization comes out at 0.00 μB per formula unit. The calculated density comes out at 10.16 Mg/m³. Its space group is Pmm2, No. 25. The energy of formation from the pure elements is 5.59 kcal/mol of atoms.

Cell: 2.6184 3.9670 5.3770 Å, 90.00 90.00 90.00°
Fractional coordinates of all 4 atoms:
Mg: 0.0000 0.0000 0.0000
Cu: 0.0000 0.0000 0.5041
Cu: 0.5000 0.5000 0.7475
Os: 0.5000 0.5000 0.2654